Record 1
A relaxed NaTmHgBr6 crystal, computed with PBE.

```
NaTmHgBr6
1.0
7.155 0.000 0.000
-3.577 6.196 0.000
0.000 0.000 13.505
Br Na Hg Tm
12 2 2 2
direct
0.641 0.650 0.130 Br
0.009 0.359 0.130 Br
0.991 0.350 0.630 Br
0.991 0.641 0.870 Br
0.350 0.359 0.370 Br
0.650 0.009 0.870 Br
0.650 0.641 0.630 Br
0.350 0.991 0.130 Br
0.009 0.650 0.370 Br
0.641 0.991 0.370 Br
0.359 0.009 0.630 Br
0.359 0.350 0.870 Br
0.000 0.000 0.000 Na
0.000 0.000 0.500 Na
0.333 0.667 0.750 Hg
0.667 0.333 0.250 Hg
0.667 0.333 0.750 Tm
0.333 0.667 0.250 Tm
```

Its space-group type is P-31c (163). For the density of states at the Fermi level, the calculation gives 0.00 states/eV per cell. Its formation energy from raw total energies is -1.2935 eV per atom.

Record 2
A relaxed CaErHg crystal, computed with PBE.

```
CaErHg
1.0
-2.371 1.101 2.649
-1.634 -3.343 -0.074
6.113 -0.989 3.269
Ca Er Hg
1 1 1
direct
0.020 0.020 0.040 Ca
0.303 0.303 0.606 Er
0.677 0.677 0.354 Hg
```

The formation energy comes out at -0.294 eV/atom. Its space-group type is I4mm (107). For the density of states at the Fermi level, the calculation gives 2.62 states/eV per cell.

Record 3
A relaxed Mn2OsBr2 crystal, computed with PBE.

```
Mn2OsBr2
1.0
-2.602 -3.287 -5.563
5.346 -4.464 0.137
-2.559 -2.974 2.954
Mn Br Os
4 4 2
direct
0.785 0.285 0.000 Mn
0.215 0.715 0.000 Mn
0.715 0.785 0.000 Mn
0.285 0.215 0.000 Mn
0.817 0.317 0.500 Br
0.317 0.183 0.500 Br
0.683 0.817 0.500 Br
0.183 0.683 0.500 Br
0.500 0.500 0.000 Os
0.000 0.000 0.000 Os
```

Its space-group type is P4/mbm (127). For the density of states at the Fermi level, the calculation gives 8.74 states/eV per cell. Its formation energy from raw total energies is 0.8731 eV per atom.

Record 4
A relaxed Zr2CO crystal, computed with PBE.

```
Zr2CO
1.0
3.596 0.000 -0.001
0.000 5.034 0.000
0.002 0.000 7.091
O Zr C
2 4 2
direct
0.701 0.356 0.484 O
0.201 0.856 0.732 O
0.201 0.107 0.483 Zr
0.701 0.607 0.732 Zr
0.201 0.111 0.986 Zr
0.701 0.611 0.230 Zr
0.701 0.360 0.975 C
0.201 0.860 0.241 C
```

Its space-group type is Pmn2_1 (31). For the density of states at the Fermi level, the calculation gives 3.22 states/eV per cell. Its formation energy from raw total energies is -1.3041 eV per atom.